# 1
The following is a DFT calculation (PBE-GGA) of an optimized crystal structure of Pm2AlSn.

## Properties
density = 6.76 g cm⁻³
energy relative to the elements = -0.51 eV/atom
space group = P4/mmm (123)

Lattice parameters (Å, degrees): 4.936 4.936 4.389 90.00 90.00 90.00
Fractional positions:
Pm1 0.000 0.500 0.000
Pm2 0.500 0.000 0.000
Al1 0.000 0.000 0.500
Sn1 0.500 0.500 0.500


# 2
The following is a DFT calculation (PBE-GGA) of an optimized crystal structure of Pm3Al4Sn2.

## Properties
density = 5.87 g cm⁻³
energy relative to the elements = -0.53 eV/atom
space group = C2/m (12)

Lattice parameters (Å, degrees): 6.170 6.170 8.846 103.80 103.80 42.69
Fractional positions:
Pm1 0.000 0.000 0.000
Pm2 0.335 0.335 0.330
Pm3 0.665 0.665 0.670
Al1 0.044 0.044 0.385
Al2 0.266 0.266 0.944
Al3 0.734 0.734 0.056
Al4 0.956 0.956 0.615
Sn1 0.383 0.383 0.720
Sn2 0.617 0.617 0.280


# 3
The following is a DFT calculation (PBE-GGA) of an optimized crystal structure of PmTmAlSn.

## Properties
density = 7.39 g cm⁻³
energy relative to the elements = -0.43 eV/atom
space group = F-43m (216)

Lattice parameters (Å, degrees): 5.267 5.267 5.267 60.00 60.00 60.00
Fractional positions:
Pm1 0.000 0.000 0.000
Tm1 0.500 0.500 0.500
Al1 0.750 0.750 0.750
Sn1 0.250 0.250 0.250


# 4
The following is a DFT calculation (PBE-GGA) of an optimized crystal structure of PmYAlSn.

## Properties
distance to the lowest polymorph of the same formula = 0.000 eV/atom
density = 5.74 g cm⁻³
energy relative to the elements = -0.63 eV/atom
space group = Amm2 (38)

Lattice parameters (Å, degrees): 4.238 6.136 6.136 43.48 90.00 90.00
Fractional positions:
Pm1 0.000 0.000 0.000
Y1 0.500 0.279 0.279
Al1 0.500 0.558 0.558
Sn1 0.000 0.717 0.717


# 5
The following is a DFT calculation (PBE-GGA) of an optimized crystal structure of PmYAlSn.

## Properties
distance to the lowest polymorph of the same formula = 0.169 eV/atom
density = 5.98 g cm⁻³
energy relative to the elements = -0.46 eV/atom
space group = F-43m (216)

Lattice parameters (Å, degrees): 5.303 5.303 5.303 60.00 60.00 60.00
Fractional positions:
Pm1 0.000 0.000 0.000
Y1 0.500 0.500 0.500
Al1 0.250 0.250 0.250
Sn1 0.750 0.750 0.750


# 6
The following is a DFT calculation (PBE-GGA) of an optimized crystal structure of SrPmAl6.

## Properties
density = 3.73 g cm⁻³
energy relative to the elements = -0.28 eV/atom
space group = Pmm2 (25)

Lattice parameters (Å, degrees): 4.505 6.165 6.316 90.00 90.00 90.00
Fractional positions:
Sr1 0.000 0.000 0.000
Pm1 0.500 0.500 0.213
Al1 0.000 0.253 0.473
Al2 0.000 0.500 0.845
Al3 0.000 0.747 0.473
Al4 0.500 0.000 0.388
Al5 0.500 0.269 0.735
Al6 0.500 0.731 0.735


# 7
The following is a DFT calculation (PBE-GGA) of an optimized crystal structure of Sr3PmAl8.

## Properties
density = 3.76 g cm⁻³
energy relative to the elements = -0.31 eV/atom
space group = R3m (160)

Lattice parameters (Å, degrees): 10.074 10.074 10.074 33.40 33.40 33.40
Fractional positions:
Sr1 0.000 0.000 0.000
Sr2 0.125 0.125 0.125
Sr3 0.625 0.625 0.625
Pm1 0.500 0.500 0.500
Al1 0.061 0.061 0.560
Al2 0.061 0.560 0.061
Al3 0.067 0.563 0.563
Al4 0.312 0.312 0.312
Al5 0.560 0.061 0.061
Al6 0.563 0.067 0.563
Al7 0.563 0.562 0.067
Al8 0.813 0.813 0.813


# 8
The following is a DFT calculation (PBE-GGA) of an optimized crystal structure of SrPmAl.

## Properties
distance to the lowest polymorph of the same formula = 0.016 eV/atom
density = 3.96 g cm⁻³
energy relative to the elements = -0.11 eV/atom
space group = P-3m1 (164)

Lattice parameters (Å, degrees): 5.229 5.229 9.187 90.00 90.00 120.00
Fractional positions:
Sr1 0.333 0.667 0.340
Sr2 0.667 0.333 0.660
Pm1 0.333 0.667 0.912
Pm2 0.667 0.333 0.088
Al1 0.000 0.000 0.148
Al2 0.000 0.000 0.852


# 9
The following is a DFT calculation (PBE-GGA) of an optimized crystal structure of SrPm2Al6.

## Properties
density = 4.27 g cm⁻³
energy relative to the elements = -0.37 eV/atom
space group = P6/mmm (191)

Lattice parameters (Å, degrees): 8.035 8.035 3.755 90.00 90.00 120.00
Fractional positions:
Sr1 0.000 0.000 0.000
Pm1 0.333 0.667 0.000
Pm2 0.667 0.333 0.000
Al1 0.000 0.337 0.500
Al2 0.000 0.663 0.500
Al3 0.337 0.000 0.500
Al4 0.337 0.337 0.500
Al5 0.663 0.000 0.500
Al6 0.663 0.663 0.500


# 10
The following is a DFT calculation (PBE-GGA) of an optimized crystal structure of SrPmAl2.

## Properties
density = 4.27 g cm⁻³
energy relative to the elements = -0.22 eV/atom
space group = P4/mmm (123)

Lattice parameters (Å, degrees): 3.788 3.788 7.761 90.00 90.00 90.00
Fractional positions:
Sr1 0.000 0.000 0.000
Pm1 0.000 0.000 0.500
Al1 0.500 0.500 0.274
Al2 0.500 0.500 0.726


- What is the energy relative to the elements in the third record?
  -0.43 eV/atom